# PBE BeV2H, optimized geometry
# * DFT total energy: -6.171 eV per atom
# * density: 4811 kg/m3
# * magnetic moment: 0.00 Bohr magnetons per cell
data_BeV2H
_chemical_formula_sum 'Be3 V6 H3'
_cell_length_a 3.1617
_cell_length_b 3.1617
_cell_length_c 13.3838
_cell_angle_alpha 90.00
_cell_angle_beta 90.00
_cell_angle_gamma 120.00
_space_group_name_H-M_alt 'R -3 m'
_space_group_IT_number 166
_space_group_name_Hall '-R 3 2"'
loop_
_atom_site_label
_atom_site_type_symbol
_atom_site_fract_x
_atom_site_fract_y
_atom_site_fract_z
Be1 Be 0.0000 0.0000 0.0000
V1 V 0.0000 0.0000 0.2304
H1 H 0.0000 0.0000 0.5000